11
Lattice="9.239 -2.537 0.000 9.239 2.537 0.000 -2.186 0.000 7.841" Properties=species:S:1:pos:R:3 comment="GGA-PBE Nd8Y2Tl, relaxed" formation_energy_mev_per_atom=-44 space_group=C2/m pbc="T T T"
Nd 0.331 0.000 1.775
Nd 1.037 0.000 5.319
Nd 4.641 0.000 4.640
Nd 7.450 0.000 0.452
Nd 8.842 0.000 7.388
Nd 11.651 0.000 3.201
Nd 15.255 0.000 2.521
Nd 15.962 0.000 6.066
Y 3.854 0.000 1.048
Y 12.438 0.000 6.793
Tl 8.146 0.000 3.920

***

18
Lattice="8.324 -3.595 0.000 8.324 3.595 0.000 -6.110 0.000 11.266" Properties=species:S:1:pos:R:3 comment="GGA-PBE AcPr3Nd5, relaxed" formation_energy_mev_per_atom=183 space_group=C2/c e_above_lowest_polymorph_ev_per_atom=0.000 pbc="T T T"
Ac 3.742 2.033 8.449
Ac 6.797 -2.033 2.816
Pr 1.443 0.422 0.340
Pr -1.612 -0.422 5.973
Pr 8.324 0.000 0.000
Pr 5.269 0.000 5.633
Pr 12.150 0.422 5.293
Pr 9.095 -0.422 10.926
Nd 3.153 1.715 2.991
Nd 6.797 1.662 2.816
Nd 4.739 0.017 0.178
Nd 1.684 -0.017 5.811
Nd 10.440 1.715 2.642
Nd 0.098 -1.715 8.624
Nd 8.854 0.017 5.455
Nd 5.799 -0.017 11.088
Nd 3.742 -1.662 8.449
Nd 7.385 -1.715 8.275

***

3
Lattice="0.000 3.343 3.343 3.343 0.000 3.343 3.343 3.343 0.000" Properties=species:S:1:pos:R:3 comment="GGA-PBE TmAgSn, relaxed" formation_energy_mev_per_atom=-499 space_group=F-43m pbc="T T T"
Tm 0.000 0.000 0.000
Ag 1.671 1.671 1.671
Sn 3.343 3.343 3.343

***

4
Lattice="0.000 3.777 3.777 3.777 0.000 3.777 3.777 3.777 0.000" Properties=species:S:1:pos:R:3 comment="GGA-PBE PmThInGe, relaxed" formation_energy_mev_per_atom=-370 space_group=F-43m pbc="T T T"
Pm 0.000 0.000 0.000
Th 3.777 3.777 3.777
In 1.888 1.888 1.888
Ge 5.665 5.665 5.665

***

5
Lattice="5.136 0.000 0.000 0.000 5.136 0.000 0.000 0.000 5.136" Properties=species:S:1:pos:R:3 comment="GGA-PBE TcAg3Pb, relaxed" formation_energy_mev_per_atom=1180 space_group=Pm-3m e_above_lowest_polymorph_ev_per_atom=0.000 pbc="T T T"
Tc 0.000 0.000 0.000
Ag 0.000 0.000 2.568
Ag 0.000 2.568 0.000
Ag 2.568 0.000 0.000
Pb 2.568 2.568 2.568

***

4
Lattice="-1.584 2.275 6.398 1.584 -2.275 6.398 1.584 2.275 -6.398" Properties=species:S:1:pos:R:3 comment="GGA-PBE CrAg2Br, relaxed" space_group=Imm2 e_above_lowest_polymorph_ev_per_atom=0.057 pbc="T T T"
Cr 0.000 0.000 0.000
Ag 1.584 0.000 2.382
Ag 0.000 0.000 7.210
Br 0.000 2.275 4.434

***

5
Lattice="5.015 0.000 0.000 0.000 5.015 0.000 0.000 0.000 4.896" Properties=species:S:1:pos:R:3 comment="GGA-PBE ZrWS2Cl, relaxed" space_group=P4/mmm e_above_lowest_polymorph_ev_per_atom=0.166 pbc="T T T"
Zr 0.000 0.000 0.000
W 2.507 2.507 2.448
S 0.000 2.507 0.000
S 2.507 0.000 0.000
Cl 0.000 0.000 2.448

***

5
Lattice="-1.972 1.972 6.612 1.972 -1.972 6.612 1.972 1.972 -6.612" Properties=species:S:1:pos:R:3 comment="GGA-PBE Li2Al2Sb, relaxed" space_group=I4/mmm e_above_lowest_polymorph_ev_per_atom=0.099 pbc="T T T"
Li 1.972 0.000 3.306
Li 0.000 1.972 3.306
Al 0.000 0.000 1.277
Al 0.000 0.000 11.947
Sb 0.000 0.000 6.612

***

| no. | volume (A^3/atom) |
| --- | --- |
| 1 | 33.41 |
| 2 | 37.46 |
| 3 | 24.90 |
| 4 | 26.94 |
| 5 | 27.10 |
| 6 | 23.05 |
| 7 | 24.63 |
| 8 | 20.56 |